! Ce2TcN4 (PBE-GGA, optimized geometry); values from VASP
! - raw formation energy (eV per atom) = -0.994
! - offset from the most stable computed form (kJ/mol of atoms) = 0.69
! - calculated total energy (eV per atom) = -8.93
&SYSTEM
  ibrav = 0, nat = 7, ntyp = 3
/
ATOMIC_SPECIES
Tc 98.00 Tc.upf
Ce 140.12 Ce.upf
N 14.01 N.upf
ATOMIC_POSITIONS crystal
Tc 0.0000 0.0000 0.0000
Ce 0.6463 0.6463 0.7075
Ce 0.3537 0.3537 0.2925
N 0.8226 0.8226 0.3549
N 0.1774 0.1774 0.6451
N 0.0000 0.5000 0.0000
N 0.5000 0.0000 0.0000
CELL_PARAMETERS angstrom
3.8717 0.0000 0.0000
0.0000 3.8717 0.0000
1.9358 1.9358 6.1802